Here is a relaxed Er2FeBiO6 crystal from the Alexandria database. Energies are from GGA+U. Values from VASP.

```
&SYSTEM
  ibrav = 0, nat = 10, ntyp = 4
/
ATOMIC_SPECIES
Er 167.26 Er.upf
Fe 55.84 Fe.upf
Bi 208.98 Bi.upf
O 16.00 O.upf
ATOMIC_POSITIONS crystal
Er 0.000 0.500 0.000
Er 0.500 0.000 0.000
Fe 0.000 0.000 0.618
Bi 0.500 0.500 0.573
O 0.000 0.000 0.271
O 0.239 0.239 0.780
O 0.239 0.761 0.780
O 0.500 0.500 0.157
O 0.761 0.239 0.780
O 0.761 0.761 0.780
CELL_PARAMETERS angstrom
5.304 0.000 0.000
0.000 5.304 0.000
0.000 0.000 5.458
```

Calculated values
Magnetization = 5.0 μB/cell
Space group = No. 99
Final energy = -70.2 eV for the cell shown

Here is a relaxed ErFe2BiO6 crystal from the Alexandria database. Energies are from GGA+U. Values from VASP.

```
&SYSTEM
  ibrav = 0, nat = 10, ntyp = 4
/
ATOMIC_SPECIES
Er 167.26 Er.upf
Fe 55.84 Fe.upf
Bi 208.98 Bi.upf
O 16.00 O.upf
ATOMIC_POSITIONS crystal
Er 0.000 0.000 0.000
Fe 0.223 0.555 0.662
Fe 0.726 0.556 0.156
Bi 0.496 0.009 0.486
O 0.055 0.054 0.378
O 0.352 0.082 0.860
O 0.442 0.514 0.367
O 0.573 0.484 0.878
O 0.881 0.675 0.368
O 0.942 0.694 0.876
CELL_PARAMETERS angstrom
5.465 0.000 0.000
2.680 4.838 0.000
0.014 3.128 4.629
```

Calculated values
Magnetization = 8.0 μB/cell
Space group = No. 1
Final energy = -67.7 eV for the cell shown